First-principles (PBE with a Hubbard U) data for a relaxed VWOF2 crystal, as listed in the Alexandria database.

Unit cell a=4.297 b=4.297 c=4.211 alpha=90.00 beta=90.00 gamma=90.00
Sites, in units of the cell vectors:
F: 0.500 0.000 0.000
V: 0.500 0.500 0.500
W: 0.000 0.000 0.000
F: 0.000 0.500 0.000
O: 0.000 0.000 0.500

Values from the calculation:
**Energy above the most stable polymorph in this dataset**: 0.79 eV per formula unit
**Crystal system**: tetragonal
**Spin magnetization**: 6.869 Bohr magnetons per cell
**ρ**: 6.2 g cm⁻³